Record 1
## CsVO3 (GGA-PBEsol)

Data for CsVO3 after structural relaxation.

POSCAR file:
```
CsVO3
1.0
5.3879 0.0000 0.0000
0.0000 12.1604 0.0000
0.0000 0.0000 5.7731
Cs V O
4 4 12
direct
0.0865 0.0971 0.2500
0.0865 0.4029 0.7500
0.9135 0.5971 0.2500
0.9135 0.9029 0.7500
0.4516 0.6714 0.7500
0.4516 0.8286 0.2500
0.5484 0.1714 0.7500
0.5484 0.3286 0.2500
0.1482 0.6526 0.7500
0.1482 0.8474 0.2500
0.4073 0.0516 0.7500
0.4073 0.4484 0.2500
0.4546 0.2500 0.0000
0.4546 0.2500 0.5000
0.5454 0.7500 0.0000
0.5454 0.7500 0.5000
0.5927 0.5516 0.7500
0.5927 0.9484 0.2500
0.8518 0.1526 0.7500
0.8518 0.3474 0.2500
```

Output
formation energy from raw total energies: -11.8 eV/f.u.
spin magnetization: 0.00 Bohr magnetons per cell
N(E_F): 0.0 states/eV/f.u.
calculated volume: 18.91 Å³ per atom
E: -152.3 eV/cell
calculated density: 4.1 g/cm³



Record 2
## ZnAg2Te (GGA-PBEsol)

Data for ZnAg2Te after structural relaxation.

POSCAR file:
```
ZnAg2Te
1.0
2.9423 0.0000 0.0000
0.0000 3.8661 0.0000
-0.0108 0.0000 6.9289
Zn Ag Te
1 2 1
direct
0.0000 0.0000 0.0000
0.4996 0.5000 0.1939
0.5004 0.5000 0.8061
0.5000 0.0000 0.5000
```

Output
formation energy from raw total energies: 0.2 eV/f.u.
spin magnetization: 0.00 Bohr magnetons per cell
N(E_F): 1.2 states/eV/f.u.
calculated volume: 19.71 Å³ per atom
E: -11.5 eV/cell
calculated density: 8.6 g/cm³



Record 3
## YCuBr2 (GGA-PBEsol)

Data for YCuBr2 after structural relaxation.

POSCAR file:
```
YCuBr2
1.0
3.4923 0.0000 0.0000
0.0000 3.4923 0.0000
0.0000 0.0000 7.7214
Y Cu Br
1 1 2
direct
0.0000 0.0000 0.0000
0.5000 0.5000 0.7954
0.0000 0.0000 0.6382
0.5000 0.5000 0.2421
```

Output
formation energy from raw total energies: -3.3 eV/f.u.
spin magnetization: 0.00 Bohr magnetons per cell
N(E_F): 0.9 states/eV/f.u.
calculated volume: 23.54 Å³ per atom
E: -18.2 eV/cell
calculated density: 5.5 g/cm³



Record 4
## La2HgRu (GGA-PBEsol)

Data for La2HgRu after structural relaxation.

POSCAR file:
```
La2HgRu
1.0
2.0215 1.1671 7.8510
-2.0215 1.1671 7.8510
0.0000 -2.3342 7.8510
La Hg Ru
2 1 1
direct
0.2322 0.2322 0.2322
0.7678 0.7678 0.7678
0.0000 0.0000 0.0000
0.5000 0.5000 0.5000
```

Output
spin magnetization: 0.00 Bohr magnetons per cell
N(E_F): 2.3 states/eV/f.u.
calculated volume: 27.78 Å³ per atom
energy relative to the elements: -272.4 meV per atom
E: -22.5 eV/cell
calculated density: 8.7 g/cm³



Record 5
## Zr2FeW (GGA-PBEsol)

Data for Zr2FeW after structural relaxation.

POSCAR file:
```
Zr2FeW
1.0
2.8916 0.0000 0.0000
0.0000 4.3456 0.0000
-0.8301 0.0000 5.3154
Zr Fe W
2 1 1
direct
0.2428 0.0000 0.2582
0.7572 0.0000 0.7418
0.0000 0.5000 0.5000
0.5000 0.5000 0.0000
```

Output
spin magnetization: 0.59 Bohr magnetons per cell
N(E_F): 4.5 states/eV/f.u.
calculated volume: 16.70 Å³ per atom
energy relative to the elements: 248.4 meV per atom
E: -40.0 eV/cell
calculated density: 10.5 g/cm³



Record 6
## K3Cu2Bi5S10 (GGA-PBEsol)

Data for K3Cu2Bi5S10 after structural relaxation.

POSCAR file:
```
K3Cu2Bi5S10
1.0
14.1576 0.0000 0.0000
0.0000 17.5704 0.0000
0.0000 0.0000 3.9913
K Cu Bi S
6 4 10 20
direct
0.0000 0.0000 0.0000
0.0255 0.2532 0.5000
0.4745 0.7532 0.0000
0.5000 0.5000 0.5000
0.5255 0.2468 0.0000
0.9745 0.7468 0.5000
0.2151 0.7449 0.0000
0.2849 0.2449 0.5000
0.7151 0.7551 0.5000
0.7849 0.2551 0.0000
0.0000 0.5000 0.0000
0.2203 0.5958 0.5000
0.2318 0.8939 0.5000
0.2682 0.3939 0.0000
0.2797 0.0958 0.0000
0.5000 0.0000 0.5000
0.7203 0.9042 0.0000
0.7318 0.6061 0.0000
0.7682 0.1061 0.5000
0.7797 0.4042 0.5000
0.0936 0.6412 0.0000
0.1155 0.8500 0.0000
0.1245 0.4458 0.5000
0.1613 0.0368 0.5000
0.1998 0.2352 0.0000
0.3002 0.7352 0.5000
0.3387 0.5368 0.0000
0.3755 0.9458 0.0000
0.3845 0.3500 0.5000
0.4064 0.1412 0.5000
0.5936 0.8588 0.5000
0.6155 0.6500 0.5000
0.6245 0.0542 0.0000
0.6613 0.4632 0.0000
0.6998 0.2648 0.5000
0.8002 0.7648 0.0000
0.8387 0.9632 0.5000
0.8755 0.5542 0.5000
0.8845 0.1500 0.0000
0.9064 0.3588 0.0000
```

Output
formation energy from raw total energies: -12.4 eV/f.u.
spin magnetization: 0.00 Bohr magnetons per cell
calculated volume: 24.82 Å³ per atom
E: -179.6 eV/cell
calculated density: 5.4 g/cm³



Record 7
## NbBI2 (GGA-PBEsol)

Data for NbBI2 after structural relaxation.

POSCAR file:
```
NbBI2
1.0
0.0000 3.4032 3.4032
3.4032 0.0000 3.4032
3.4032 3.4032 0.0000
Nb B I
1 1 2
direct
0.0000 0.0000 0.0000
0.5000 0.5000 0.5000
0.2500 0.2500 0.2500
0.7500 0.7500 0.7500
```

Output
formation energy from raw total energies: 4.4 eV/f.u.
spin magnetization: 0.00 Bohr magnetons per cell
N(E_F): 2.4 states/eV/f.u.
calculated volume: 19.71 Å³ per atom
E: -16.9 eV/cell
calculated density: 7.5 g/cm³



Record 8
## ZrMn2Br (GGA-PBEsol)

Data for ZrMn2Br after structural relaxation.

POSCAR file:
```
ZrMn2Br
1.0
1.6103 0.9297 8.2620
-1.6103 0.9297 8.2620
0.0000 -1.8594 8.2620
Zr Mn Br
1 2 1
direct
0.0000 0.0000 0.0000
0.2477 0.2477 0.2477
0.7523 0.7523 0.7523
0.5000 0.5000 0.5000
```

Output
formation energy from raw total energies: 1.3 eV/f.u.
spin magnetization: 6.61 Bohr magnetons per cell
N(E_F): 3.1 states/eV/f.u.
calculated volume: 18.55 Å³ per atom
E: -29.2 eV/cell
calculated density: 6.3 g/cm³



Record 9
## SbTePt2 (GGA-PBEsol)

Data for SbTePt2 after structural relaxation.

POSCAR file:
```
SbTePt2
1.0
1.9819 1.1443 6.4920
-1.9819 1.1443 6.4920
0.0000 -2.2885 6.4920
Sb Te Pt
1 1 2
direct
0.0000 0.0000 0.0000
0.2002 0.2002 0.2002
0.4692 0.4692 0.4692
0.7289 0.7289 0.7289
```

Output
formation energy from raw total energies: -1.2 eV/f.u.
spin magnetization: 0.00 Bohr magnetons per cell
N(E_F): 1.8 states/eV/f.u.
calculated volume: 22.08 Å³ per atom
E: -23.2 eV/cell
calculated density: 12.0 g/cm³



Record 10
## EuFe2P2 (GGA-PBEsol)

Data for EuFe2P2 after structural relaxation.

POSCAR file:
```
EuFe2P2
1.0
-1.8906 1.8906 5.0246
1.8906 -1.8906 5.0246
1.8906 1.8906 -5.0246
Eu Fe P
1 2 2
direct
0.0000 0.0000 0.0000
0.2500 0.7500 0.5000
0.7500 0.2500 0.5000
0.3577 0.3577 0.0000
0.6423 0.6423 0.0000
```

Output
spin magnetization: 6.86 Bohr magnetons per cell
N(E_F): 4.7 states/eV/f.u.
calculated volume: 14.37 Å³ per atom
energy relative to the elements: -1006.6 meV per atom
E: -45.1 eV/cell
calculated density: 7.5 g/cm³



Record 11
## LaScAs2Br (GGA-PBEsol)

Data for LaScAs2Br after structural relaxation.

POSCAR file:
```
LaScAs2Br
1.0
5.0584 0.0000 0.0000
0.0000 5.0584 0.0000
0.0000 0.0000 5.0557
La Sc As Br
1 1 2 1
direct
0.0000 0.0000 0.0000
0.5000 0.5000 0.5000
0.0000 0.5000 0.5000
0.5000 0.0000 0.5000
0.5000 0.5000 0.0000
```

Output
formation energy from raw total energies: -4.6 eV/f.u.
spin magnetization: 0.00 Bohr magnetons per cell
N(E_F): 2.2 states/eV/f.u.
calculated volume: 25.87 Å³ per atom
E: -28.7 eV/cell
calculated density: 5.3 g/cm³



Record 12
## NaSrAlF6 (GGA-PBEsol)

Data for NaSrAlF6 after structural relaxation.

POSCAR file:
```
NaSrAlF6
1.0
18.2070 0.0000 0.0000
0.0000 5.2918 0.0000
0.0000 0.0000 9.3934
Na Sr Al F
8 8 8 48
direct
0.0663 0.2384 0.0000
0.1867 0.7459 0.0954
0.3133 0.2459 0.5954
0.4337 0.7384 0.5000
0.5663 0.2616 0.0000
0.6867 0.7541 0.0954
0.8133 0.2541 0.5954
0.9337 0.7616 0.5000
0.1142 0.7468 0.7294
0.1340 0.2471 0.3670
0.3660 0.7471 0.8670
0.3858 0.2468 0.2294
0.6142 0.7532 0.7294
0.6340 0.2529 0.3670
0.8660 0.7529 0.8670
0.8858 0.2532 0.2294
0.0058 0.7382 0.1255
0.2463 0.2493 0.9692
0.2537 0.7493 0.4692
0.4942 0.2382 0.6255
0.5058 0.7618 0.1255
0.7463 0.2507 0.9692
0.7537 0.7507 0.4692
0.9942 0.2618 0.6255
0.0367 0.0083 0.5236
0.0381 0.4621 0.2208
0.0582 0.1906 0.7657
0.0602 0.4769 0.5421
0.0688 0.6714 0.9773
0.0750 0.9488 0.1933
0.1803 0.0306 0.8990
0.1827 0.3035 0.1173
0.1882 0.6910 0.3299
0.1901 0.9710 0.5545
0.2098 0.4964 0.5683
0.2099 0.5195 0.8752
0.2901 0.0195 0.3752
0.2902 0.9964 0.0683
0.3099 0.4710 0.0545
0.3118 0.1910 0.8299
0.3173 0.8035 0.6173
0.3197 0.5306 0.3990
0.4250 0.4488 0.6933
0.4312 0.1714 0.4773
0.4398 0.9769 0.0421
0.4418 0.6906 0.2657
0.4619 0.9621 0.7208
0.4633 0.5083 0.0236
0.5367 0.4917 0.5236
0.5381 0.0379 0.2208
0.5582 0.3094 0.7657
0.5602 0.0231 0.5421
0.5688 0.8286 0.9773
0.5750 0.5512 0.1933
0.6803 0.4694 0.8990
0.6827 0.1965 0.1173
0.6882 0.8090 0.3299
0.6901 0.5290 0.5545
0.7098 0.0036 0.5683
0.7099 0.9805 0.8752
0.7901 0.4805 0.3752
0.7902 0.5036 0.0683
0.8099 0.0290 0.0545
0.8118 0.3090 0.8299
0.8173 0.6965 0.6173
0.8197 0.9694 0.3990
0.9250 0.0512 0.6933
0.9312 0.3286 0.4773
0.9398 0.5231 0.0421
0.9418 0.8094 0.2657
0.9619 0.5379 0.7208
0.9633 0.9917 0.0236
```

Output
formation energy from raw total energies: -32.1 eV/f.u.
spin magnetization: 0.00 Bohr magnetons per cell
N(E_F): 0.0 states/eV/f.u.
calculated volume: 12.57 Å³ per atom
E: -407.9 eV/cell
calculated density: 3.7 g/cm³